# 1
# GGA-PBE PuI2O8, optimized geometry
# Total moment, μB per atom: 0.182
# DOS(E_F), states/eV per cell: 5.352
# Final energy, eV per atom: -6.19
data_PuI2O8
_chemical_formula_sum 'Pu1 I2 O8'
_symmetry_space_group_name_H-M 'P 1'
_symmetry_Int_Tables_number 1
_cell_length_a 5.3973
_cell_length_b 7.2888
_cell_length_c 7.2888
_cell_angle_alpha 58.61
_cell_angle_beta 78.99
_cell_angle_gamma 78.99
loop_
_symmetry_equiv_pos_as_xyz
'x,y,z'
loop_
_atom_site_label
_atom_site_type_symbol
_atom_site_fract_x
_atom_site_fract_y
_atom_site_fract_z
Pu1 Pu 0.0000 0.0000 0.0000
I1 I 0.9769 0.7370 0.7370
I2 I 0.0231 0.2630 0.2630
O1 O 0.0690 0.9679 0.3292
O2 O 0.0690 0.3292 0.9679
O3 O 0.9310 0.0321 0.6708
O4 O 0.3215 0.3005 0.3005
O5 O 0.9310 0.6708 0.0321
O6 O 0.3256 0.9360 0.9360
O7 O 0.6744 0.0640 0.0640
O8 O 0.6785 0.6995 0.6995

---

# 2
# GGA-PBE PuI4O12, optimized geometry
# Total moment, μB per atom: 0.235
# DOS(E_F), states/eV per cell: 12.125
# Final energy, eV per atom: -5.45
data_PuI4O12
_chemical_formula_sum 'Pu2 I8 O24'
_symmetry_space_group_name_H-M 'P 1'
_symmetry_Int_Tables_number 1
_cell_length_a 10.1913
_cell_length_b 10.1913
_cell_length_c 5.3829
_cell_angle_alpha 90.00
_cell_angle_beta 90.00
_cell_angle_gamma 90.00
loop_
_symmetry_equiv_pos_as_xyz
'x,y,z'
loop_
_atom_site_label
_atom_site_type_symbol
_atom_site_fract_x
_atom_site_fract_y
_atom_site_fract_z
Pu1 Pu 0.5000 0.5000 0.0000
Pu2 Pu 0.0000 0.0000 0.5000
I1 I 0.0010 0.2703 0.9697
I2 I 0.5010 0.7703 0.5303
I3 I 0.4990 0.2297 0.5303
I4 I 0.2703 0.9990 0.0303
I5 I 0.2297 0.5010 0.4697
I6 I 0.7297 0.0010 0.0303
I7 I 0.7703 0.4990 0.4697
I8 I 0.9990 0.7297 0.9697
O1 O 0.5768 0.6901 0.8025
O2 O 0.6901 0.4232 0.1975
O3 O 0.9006 0.3804 0.5074
O4 O 0.5718 0.6503 0.3056
O5 O 0.3497 0.5718 0.6944
O6 O 0.1901 0.9232 0.3025
O7 O 0.1503 0.9282 0.8056
O8 O 0.3099 0.5768 0.1975
O9 O 0.8099 0.0768 0.3025
O10 O 0.6503 0.4282 0.6944
O11 O 0.5994 0.1196 0.9926
O12 O 0.0994 0.6196 0.5074
O13 O 0.3804 0.0994 0.4926
O14 O 0.9232 0.8099 0.6975
O15 O 0.0768 0.1901 0.6975
O16 O 0.6196 0.9006 0.4926
O17 O 0.0718 0.1503 0.1944
O18 O 0.4282 0.3497 0.3056
O19 O 0.1196 0.4006 0.0074
O20 O 0.8804 0.5994 0.0074
O21 O 0.4006 0.8804 0.9926
O22 O 0.9282 0.8497 0.1944
O23 O 0.4232 0.3099 0.8025
O24 O 0.8497 0.0718 0.8056

---

# 3
# GGA-PBE PuIO, optimized geometry
# Total moment, μB per atom: 1.667
# DOS(E_F), states/eV per cell: 12.195
# Final energy, eV per atom: -9.24
data_PuIO
_chemical_formula_sum 'Pu2 I2 O2'
_symmetry_space_group_name_H-M 'P 1'
_symmetry_Int_Tables_number 1
_cell_length_a 4.0133
_cell_length_b 4.0131
_cell_length_c 10.0156
_cell_angle_alpha 89.94
_cell_angle_beta 89.92
_cell_angle_gamma 90.00
loop_
_symmetry_equiv_pos_as_xyz
'x,y,z'
loop_
_atom_site_label
_atom_site_type_symbol
_atom_site_fract_x
_atom_site_fract_y
_atom_site_fract_z
Pu1 Pu 0.9801 0.9925 0.9942
Pu2 Pu 0.4809 0.4932 0.7634
I1 I 0.9815 0.9936 0.5746
I2 I 0.4795 0.4921 0.1830
O1 O 0.4805 0.9929 0.8788
O2 O 0.9805 0.4929 0.8788

---

# 4
# GGA-PBE Pu2IO, optimized geometry
# Total moment, μB per atom: 0.274
# DOS(E_F), states/eV per cell: 7.105
# Relative energy among the computed polymorphs, eV per formula unit: 1.286
# Final energy, eV per atom: -9.40
data_Pu2IO
_chemical_formula_sum 'Pu2 I1 O1'
_symmetry_space_group_name_H-M 'P 1'
_symmetry_Int_Tables_number 1
_cell_length_a 4.1625
_cell_length_b 4.1625
_cell_length_c 6.3369
_cell_angle_alpha 70.83
_cell_angle_beta 70.83
_cell_angle_gamma 60.00
loop_
_symmetry_equiv_pos_as_xyz
'x,y,z'
loop_
_atom_site_label
_atom_site_type_symbol
_atom_site_fract_x
_atom_site_fract_y
_atom_site_fract_z
I1 I 0.0000 0.0000 0.0000
O1 O 0.5000 0.5000 0.5000
Pu1 Pu 0.8161 0.8161 0.5516
Pu2 Pu 0.1839 0.1839 0.4484

---

Among the records above, which one has the highest final energy?
PuI4O12

---

Among the records above, which one has the highest total moment?
PuIO

---

Which of these has the highest DOS(E_F)?
PuIO